1.
Compound: Ba4CrAs4
Source: Alexandria
Functional: PBE
Structure: optimized geometry Values from VASP.

Cell and atoms, written as Quantum ESPRESSO input:
```
&SYSTEM
  ibrav = 0, nat = 18, ntyp = 3
/
ATOMIC_SPECIES
Ba 137.33 Ba.upf
Cr 52.00 Cr.upf
As 74.92 As.upf
ATOMIC_POSITIONS angstrom
Ba 0.218 2.359 0.524
Ba 2.359 0.218 3.991
Ba 2.359 4.500 3.991
Ba 4.500 2.359 0.524
Ba 4.936 7.077 6.410
Ba 7.077 4.936 2.943
Ba 7.077 9.218 2.943
Ba 9.218 7.077 6.410
Cr 2.359 7.077 1.734
Cr 7.077 2.359 5.201
As 0.319 7.077 3.051
As 2.359 5.037 0.416
As 2.359 9.116 0.416
As 4.399 7.077 3.051
As 5.037 2.359 3.883
As 7.077 0.319 6.518
As 7.077 4.399 6.518
As 9.116 2.359 3.883
CELL_PARAMETERS angstrom
9.436 0.000 0.000
0.000 9.436 0.000
0.000 0.000 6.934
```

Summary:
The space group is P4_2/nmc. The calculation puts the formation energy at -0.869 eV/atom.

---

2.
Compound: BaCrAs2
Source: Alexandria
Functional: PBE
Structure: optimized geometry Values from VASP.

Cell and atoms, written as Quantum ESPRESSO input:
```
&SYSTEM
  ibrav = 0, nat = 4, ntyp = 3
/
ATOMIC_SPECIES
Ba 137.33 Ba.upf
Cr 52.00 Cr.upf
As 74.92 As.upf
ATOMIC_POSITIONS angstrom
Ba 0.000 0.000 0.000
Cr 0.000 0.000 3.741
As 2.220 0.000 2.467
As 0.000 3.300 1.274
CELL_PARAMETERS angstrom
-2.220 3.300 3.741
2.220 -3.300 3.741
2.220 3.300 -3.741
```

Summary:
The space group is Immm. Its energy above the most stable polymorph in this dataset is 0.138 eV per atom. The calculation puts the formation energy at -0.352 eV/atom.

---

3.
Compound: BaCr3As
Source: Alexandria
Functional: PBE
Structure: optimized geometry Values from VASP.

Cell and atoms, written as Quantum ESPRESSO input:
```
&SYSTEM
  ibrav = 0, nat = 5, ntyp = 3
/
ATOMIC_SPECIES
Ba 137.33 Ba.upf
Cr 52.00 Cr.upf
As 74.92 As.upf
ATOMIC_POSITIONS angstrom
Ba 0.000 0.000 0.000
Cr 0.000 0.000 2.569
Cr 0.000 2.569 0.000
Cr 2.569 0.000 0.000
As 2.569 2.569 2.569
CELL_PARAMETERS angstrom
5.138 0.000 0.000
0.000 5.138 0.000
0.000 0.000 5.138
```

Summary:
The space group is Pm-3m. Its energy above the most stable polymorph in this dataset is 1.716 eV per atom. The calculation puts the formation energy at 2.387 eV/atom.

---

4.
Compound: Ba2CrAs
Source: Alexandria
Functional: PBE
Structure: optimized geometry Values from VASP.

Cell and atoms, written as Quantum ESPRESSO input:
```
&SYSTEM
  ibrav = 0, nat = 4, ntyp = 3
/
ATOMIC_SPECIES
Ba 137.33 Ba.upf
Cr 52.00 Cr.upf
As 74.92 As.upf
ATOMIC_POSITIONS angstrom
Ba 0.000 0.000 0.000
Ba 0.000 2.350 3.835
Cr 2.203 0.000 5.068
As 0.000 0.000 6.363
CELL_PARAMETERS angstrom
-2.203 2.350 7.584
2.203 -2.350 7.584
2.203 2.350 -7.584
```

Summary:
The space group is Imm2. The calculation puts the formation energy at -0.183 eV/atom.

---

Record-wise M_tot values, in μB/cell: 4.0 3.9 11.6 4.2